# AcGdPuSn

A relaxed structure of AcGdPuSn (PBE, the Alexandria database).

Geometry as extended XYZ:
```
4
Lattice="-3.711 3.672 1.911 -2.375 -0.777 4.966 1.315 3.321 4.260" Properties=species:S:1:pos:R:3 pbc="T T T"
Ac -3.579 4.662 8.353
Gd 0.000 0.000 0.000
Sn -1.193 1.554 2.784
Pu -2.386 3.108 5.568
```

Total moment   14.68 μB/f.u.
Crystal system   cubic
Calculated formation energy   -0.07 eV/atom

=====

# SiSbIN2

A relaxed structure of SiSbIN2 (PBE, the Alexandria database).

Geometry as extended XYZ:
```
5
Lattice="-0.833 -1.199 3.720 -2.648 -2.625 -1.439 3.775 -3.630 -0.324" Properties=species:S:1:pos:R:3 pbc="T T T"
I 1.887 -1.815 -0.162
Sb 0.147 -3.727 0.979
Si 0.000 0.000 0.000
N -1.324 -1.312 -0.719
N -0.417 -0.599 1.860
```

Total moment   0.00 μB/f.u.
Crystal system   tetragonal
E above lowest polymorph   0.0 meV per atom

=====

# PmEuSiSn

A relaxed structure of PmEuSiSn (PBE, the Alexandria database).

Geometry as extended XYZ:
```
4
Lattice="-3.687 -0.725 -3.780 -4.433 -2.751 1.093 -4.687 2.518 0.330" Properties=species:S:1:pos:R:3 pbc="T T T"
Eu 0.000 0.000 0.000
Si -9.605 -0.719 -1.768
Sn -3.202 -0.240 -0.589
Pm -6.403 -0.479 -1.179
```

Total moment   6.95 μB/f.u.
Crystal system   cubic
E_tot   -26.15 eV per cell

=====

# Li4Ca3Ge4

A relaxed structure of Li4Ca3Ge4 (PBE, the Alexandria database).

Geometry as extended XYZ:
```
11
Lattice="-1.802 0.359 -3.015 -0.085 -4.549 -0.490 -13.183 -2.654 5.509" Properties=species:S:1:pos:R:3 pbc="T T T"
Li -11.786 -2.371 2.639
Li -6.925 -2.367 1.798
Li -8.144 -4.478 0.206
Li -3.283 -4.473 -0.635
Ca -9.633 -4.765 3.131
Ca -5.436 -2.079 -1.127
Ca -13.183 -2.654 5.509
Ge -12.975 -4.697 3.072
Ge -2.094 -2.148 -1.069
Ge -5.494 -4.575 0.679
Ge -9.575 -2.270 1.324
```

Total moment   0.00 μB/f.u.
Crystal system   monoclinic
Calculated formation energy   -0.44 eV/atom
E above lowest polymorph   10.3 meV per atom

=====

# CeGeTe2N

A relaxed structure of CeGeTe2N (PBE, the Alexandria database).

Geometry as extended XYZ:
```
10
Lattice="3.986 0.000 0.000 0.000 3.986 0.000 0.000 0.000 16.236" Properties=species:S:1:pos:R:3 pbc="T T T"
Ce 1.993 0.000 9.249
Ce 0.000 1.993 6.988
Ge 1.993 0.000 2.460
Ge 0.000 1.993 13.776
Te 0.000 1.993 11.106
Te 0.000 1.993 1.703
Te 1.993 0.000 14.534
Te 1.993 0.000 5.130
N 0.000 0.000 8.118
N 1.993 1.993 8.118
```

Total moment   0.00 μB/f.u.
Crystal system   tetragonal
E_tot   -58.06 eV per cell

=====

# Ba3Mg2Pb9

A relaxed structure of Ba3Mg2Pb9 (PBE, the Alexandria database).

Geometry as extended XYZ:
```
14
Lattice="5.265 0.000 1.414 2.054 9.246 2.862 0.165 0.077 9.893" Properties=species:S:1:pos:R:3 pbc="T T T"
Ba 0.000 0.000 0.000
Ba 4.393 2.670 4.662
Ba 3.091 6.654 9.507
Mg 3.442 3.206 8.201
Mg 4.042 6.118 5.968
Pb 1.110 4.662 6.377
Pb 3.484 0.119 8.047
Pb 4.001 9.205 6.122
Pb 4.831 6.662 3.029
Pb 2.653 2.661 11.140
Pb 6.319 8.002 7.998
Pb 1.165 1.322 6.171
Pb 5.518 4.113 10.980
Pb 1.966 5.211 3.189
```

Total moment   0.00 μB/f.u.
Crystal system   orthorhombic
Calculated formation energy   -0.30 eV/atom

=====

# Cs4Tm3MnTe8

A relaxed structure of Cs4Tm3MnTe8 (PBE, the Alexandria database).

Geometry as extended XYZ:
```
16
Lattice="8.919 0.000 0.000 0.000 10.226 0.913 -4.460 -4.458 6.309" Properties=species:S:1:pos:R:3 pbc="T T T"
Cs 4.460 0.000 0.000
Cs 2.230 -2.229 3.155
Cs 0.000 0.000 0.000
Cs -2.230 -2.229 3.155
Tm 4.460 5.113 0.457
Tm 2.230 2.884 3.611
Tm -2.230 2.884 3.611
Mn 0.000 5.113 0.457
Te -2.324 2.673 6.681
Te 0.000 4.995 3.397
Te 0.000 0.764 3.691
Te 2.324 2.673 6.681
Te 2.136 3.095 0.541
Te 4.460 5.003 3.532
Te 4.460 0.772 3.826
Te 6.784 3.095 0.541
```

Total moment   4.01 μB/f.u.
Crystal system   trigonal
E_tot   -68.86 eV per cell

=====

# BeCr2Br

A relaxed structure of BeCr2Br (PBE, the Alexandria database).

Geometry as extended XYZ:
```
4
Lattice="0.000 2.908 2.908 2.908 0.000 2.908 2.908 2.908 0.000" Properties=species:S:1:pos:R:3 pbc="T T T"
Cr 1.454 1.454 1.454
Cr 4.361 4.361 4.361
Br 2.908 2.908 2.908
Be 0.000 0.000 0.000
```

Total moment   1.79 μB/f.u.
Crystal system   cubic
E above lowest polymorph   576.5 meV per atom